Entry 1:
The following is a DFT calculation (PBE) of La2InOs after structural relaxation.

Structure (POSCAR):
```
La2InOs
1.0
3.449 0.000 0.000
0.000 3.449 0.000
0.000 0.000 9.242
La In Os
2 1 1
Cartesian
0.000 0.000 0.000 La
1.724 1.724 3.603 La
1.724 1.724 6.884 In
0.000 0.000 5.388 Os
```

Output
SG: No. 99
ΔH_f (0 K): 0.05 eV per atom

Entry 2:
The following is a DFT calculation (PBE) of LaPmGa after structural relaxation.

Structure (POSCAR):
```
LaPmGa
1.0
3.799 0.000 0.000
0.000 3.799 0.000
0.000 0.000 12.257
La Pm Ga
2 2 2
Cartesian
0.000 0.000 0.000 La
1.899 1.899 6.129 La
0.000 0.000 8.765 Pm
1.899 1.899 2.637 Pm
0.000 0.000 4.278 Ga
1.899 1.899 10.407 Ga
```

Output
SG: No. 107
ΔH_f (0 K): -0.33 eV per atom
energy above the most stable polymorph in this dataset: 1.83 kcal/mol of atoms

Entry 3:
The following is a DFT calculation (PBE) of SrPb12Au7 after structural relaxation.

Structure (POSCAR):
```
SrPb12Au7
1.0
7.823 4.517 2.648
-7.823 4.517 2.648
0.000 -9.033 2.648
Sr Pb Au
1 12 7
Cartesian
0.000 0.000 0.000 Sr
-1.310 -5.349 2.590 Pb
-2.978 -0.848 2.898 Pb
-3.977 3.809 2.590 Pb
-5.287 -1.540 5.355 Pb
2.223 -2.155 2.898 Pb
-0.755 -3.003 5.048 Pb
0.755 3.003 2.898 Pb
-2.223 2.155 5.048 Pb
5.287 1.540 2.590 Pb
3.977 -3.809 5.355 Pb
2.978 0.848 5.048 Pb
1.310 5.349 5.355 Pb
-0.588 -2.415 2.091 Au
-1.798 1.717 2.091 Au
2.386 0.699 2.091 Au
0.000 0.000 3.973 Au
-2.386 -0.699 5.854 Au
1.798 -1.717 5.854 Au
0.588 2.415 5.854 Au
```

Output
SG: No. 148
ΔH_f (0 K): -0.12 eV per atom